A relaxed structure of Sr2CoCu. Source: the Alexandria database, functional PBE.

The value obtained for the excess energy over the best structure of this formula in the dataset is 0.192 eV/atom. The space group is P4mm (99).

```
data_Sr2CoCu
_cell_length_a 3.507
_cell_length_b 3.507
_cell_length_c 8.600
_cell_angle_alpha 90.00
_cell_angle_beta 90.00
_cell_angle_gamma 90.00
_symmetry_space_group_name_H-M 'P 1'
_symmetry_Int_Tables_number 1
loop_
_symmetry_equiv_pos_as_xyz
'x,y,z'
loop_
_atom_site_label
_atom_site_type_symbol
_atom_site_fract_x
_atom_site_fract_y
_atom_site_fract_z
Cu1 Cu 0.500 0.500 0.668
Sr1 Sr 0.000 0.000 0.911
Sr2 Sr 0.500 0.500 0.338
Co1 Co 0.000 0.000 0.584
```